1.
The following is a PBE calculation of a relaxed Li5CdGa crystal, from Alexandria.

- M_tot: 0.00 μB per atom
- D(E_F): 4.3 states/eV/cell
- Calculated volume: 18.2 Å³/atom
- Energy: -2.059 eV/atom

CIF file:
```
data_Li5CdGa
_chemical_formula_sum 'Li10 Cd2 Ga2'
_symmetry_space_group_name_H-M 'P 1'
_symmetry_Int_Tables_number 1
_cell_length_a 5.5647
_cell_length_b 5.5647
_cell_length_c 9.7922
_cell_angle_alpha 99.79
_cell_angle_beta 99.79
_cell_angle_gamma 59.20
loop_
_symmetry_equiv_pos_as_xyz
'x,y,z'
loop_
_atom_site_label
_atom_site_fract_x
_atom_site_fract_y
_atom_site_fract_z
Li1 0.1477 0.3241 0.6816
Li2 0.2045 0.7955 0.7500
Li3 0.2975 0.4091 0.9651
Li4 0.3241 0.1477 0.1816
Li5 0.4091 0.2975 0.4651
Li6 0.5909 0.7025 0.5349
Li7 0.6759 0.8523 0.8184
Li8 0.7025 0.5909 0.0349
Li9 0.7955 0.2045 0.2500
Li10 0.8523 0.6759 0.3184
Cd1 0.3019 0.6981 0.2500
Cd2 0.6981 0.3019 0.7500
Ga1 0.0000 0.0000 0.0000
Ga2 0.0000 0.0000 0.5000
```

2.
The following is a PBE calculation of a relaxed Li3CdGa4 crystal, from Alexandria.

- M_tot: 0.00 μB per atom
- D(E_F): 1.5 states/eV/cell
- Calculated volume: 17.6 Å³/atom
- Energy: -2.520 eV/atom

CIF file:
```
data_Li3CdGa4
_chemical_formula_sum 'Li3 Cd1 Ga4'
_symmetry_space_group_name_H-M 'P 1'
_symmetry_Int_Tables_number 1
_cell_length_a 10.3799
_cell_length_b 10.3799
_cell_length_c 4.4637
_cell_angle_alpha 98.11
_cell_angle_beta 98.11
_cell_angle_gamma 17.23
loop_
_symmetry_equiv_pos_as_xyz
'x,y,z'
loop_
_atom_site_label
_atom_site_fract_x
_atom_site_fract_y
_atom_site_fract_z
Li1 0.0000 0.0000 0.0000
Li2 0.1353 0.1353 0.6127
Li3 0.8647 0.8647 0.3873
Cd1 0.5000 0.5000 0.5000
Ga1 0.2741 0.2741 0.7701
Ga2 0.4000 0.4000 0.9131
Ga3 0.6000 0.6000 0.0869
Ga4 0.7259 0.7259 0.2299
```

3.
The following is a PBE calculation of a relaxed Li2Cd3Ga3 crystal, from Alexandria.

- M_tot: 0.00 μB per atom
- D(E_F): 3.3 states/eV/cell
- Calculated volume: 19.8 Å³/atom
- Energy: -2.048 eV/atom

CIF file:
```
data_Li2Cd3Ga3
_chemical_formula_sum 'Li2 Cd3 Ga3'
_symmetry_space_group_name_H-M 'P 1'
_symmetry_Int_Tables_number 1
_cell_length_a 5.4131
_cell_length_b 5.4131
_cell_length_c 5.4131
_cell_angle_alpha 87.29
_cell_angle_beta 87.29
_cell_angle_gamma 87.29
loop_
_symmetry_equiv_pos_as_xyz
'x,y,z'
loop_
_atom_site_label
_atom_site_fract_x
_atom_site_fract_y
_atom_site_fract_z
Li1 0.2502 0.2502 0.2502
Li2 0.7498 0.7498 0.7498
Cd1 0.0000 0.2410 0.7590
Cd2 0.2410 0.7590 0.0000
Cd3 0.7590 0.0000 0.2410
Ga1 0.2789 0.7211 0.5000
Ga2 0.5000 0.2789 0.7211
Ga3 0.7211 0.5000 0.2789
```

4.
The following is a PBE calculation of a relaxed Li2Cd4Ga crystal, from Alexandria.

- M_tot: 0.00 μB per atom
- D(E_F): 4.5 states/eV/cell
- Calculated volume: 20.4 Å³/atom
- Energy: -1.625 eV/atom

CIF file:
```
data_Li2Cd4Ga
_chemical_formula_sum 'Li4 Cd8 Ga2'
_symmetry_space_group_name_H-M 'P 1'
_symmetry_Int_Tables_number 1
_cell_length_a 7.2346
_cell_length_b 5.6940
_cell_length_c 7.7153
_cell_angle_alpha 90.00
_cell_angle_beta 116.23
_cell_angle_gamma 90.00
loop_
_symmetry_equiv_pos_as_xyz
'x,y,z'
loop_
_atom_site_label
_atom_site_fract_x
_atom_site_fract_y
_atom_site_fract_z
Li1 0.0382 0.2500 0.4296
Li2 0.1940 0.7500 0.0023
Li3 0.8060 0.2500 0.9977
Li4 0.9618 0.7500 0.5704
Cd1 0.2409 0.2500 0.1836
Cd2 0.3656 0.9996 0.7766
Cd3 0.3656 0.5004 0.7766
Cd4 0.3945 0.7500 0.4218
Cd5 0.6055 0.2500 0.5782
Cd6 0.6344 0.0004 0.2234
Cd7 0.6344 0.4996 0.2234
Cd8 0.7591 0.7500 0.8164
Ga1 0.0295 0.2500 0.7875
Ga2 0.9705 0.7500 0.2125
```

5.
The following is a PBE calculation of a relaxed Li2Cd5Ga2 crystal, from Alexandria.

- M_tot: 0.00 μB per atom
- D(E_F): 5.1 states/eV/cell
- Calculated volume: 20.2 Å³/atom
- Energy: -1.711 eV/atom

CIF file:
```
data_Li2Cd5Ga2
_chemical_formula_sum 'Li4 Cd10 Ga4'
_symmetry_space_group_name_H-M 'P 1'
_symmetry_Int_Tables_number 1
_cell_length_a 10.0968
_cell_length_b 10.0968
_cell_length_c 10.0968
_cell_angle_alpha 56.12
_cell_angle_beta 150.84
_cell_angle_gamma 133.17
loop_
_symmetry_equiv_pos_as_xyz
'x,y,z'
loop_
_atom_site_label
_atom_site_fract_x
_atom_site_fract_y
_atom_site_fract_z
Li1 0.0000 0.0000 0.0000
Li2 0.0000 0.5000 0.5000
Li3 0.2623 0.0557 0.7066
Li4 0.3492 0.5557 0.2934
Cd1 0.0101 0.1569 0.1858
Cd2 0.0101 0.3244 0.3532
Cd3 0.2878 0.4134 0.0436
Cd4 0.2878 0.7442 0.3744
Cd5 0.3698 0.2442 0.9564
Cd6 0.3698 0.9134 0.6256
Cd7 0.6069 0.8966 0.2103
Cd8 0.6863 0.3966 0.7897
Cd9 0.9711 0.6569 0.6468
Cd10 0.9711 0.8244 0.8142
Ga1 0.6319 0.2514 0.5352
Ga2 0.6319 0.5967 0.8806
Ga3 0.7161 0.0967 0.4648
Ga4 0.7161 0.7514 0.1194
```

6.
The following is a PBE calculation of a relaxed Li3Cd4Ga2 crystal, from Alexandria.

- M_tot: 0.00 μB per atom
- D(E_F): 2.1 states/eV/cell
- Calculated volume: 19.7 Å³/atom
- Energy: -1.901 eV/atom

CIF file:
```
data_Li3Cd4Ga2
_chemical_formula_sum 'Li3 Cd4 Ga2'
_symmetry_space_group_name_H-M 'P 1'
_symmetry_Int_Tables_number 1
_cell_length_a 5.5828
_cell_length_b 5.5828
_cell_length_c 8.9275
_cell_angle_alpha 120.05
_cell_angle_beta 120.05
_cell_angle_gamma 50.03
loop_
_symmetry_equiv_pos_as_xyz
'x,y,z'
loop_
_atom_site_label
_atom_site_fract_x
_atom_site_fract_y
_atom_site_fract_z
Li1 0.0000 0.0000 0.0000
Li2 0.3337 0.3337 0.3339
Li3 0.6663 0.6663 0.6661
Cd1 0.0612 0.0612 0.3897
Cd2 0.2897 0.2897 0.9461
Cd3 0.7103 0.7103 0.0539
Cd4 0.9388 0.9388 0.6103
Ga1 0.3892 0.3892 0.7212
Ga2 0.6108 0.6108 0.2788
```

7.
The following is a PBE calculation of a relaxed Li2CdGa3 crystal, from Alexandria.

- M_tot: 0.00 μB per atom
- D(E_F): 3.2 states/eV/cell
- Calculated volume: 17.4 Å³/atom
- Energy: -2.497 eV/atom

CIF file:
```
data_Li2CdGa3
_chemical_formula_sum 'Li4 Cd2 Ga6'
_symmetry_space_group_name_H-M 'P 1'
_symmetry_Int_Tables_number 1
_cell_length_a 5.8814
_cell_length_b 4.0327
_cell_length_c 8.7965
_cell_angle_alpha 90.00
_cell_angle_beta 91.81
_cell_angle_gamma 90.00
loop_
_symmetry_equiv_pos_as_xyz
'x,y,z'
loop_
_atom_site_label
_atom_site_fract_x
_atom_site_fract_y
_atom_site_fract_z
Li1 0.1177 0.2500 0.0872
Li2 0.3653 0.7500 0.5916
Li3 0.6347 0.2500 0.4084
Li4 0.8823 0.7500 0.9128
Cd1 0.3704 0.7500 0.2550
Cd2 0.6296 0.2500 0.7450
Ga1 0.1277 0.2500 0.4306
Ga2 0.1281 0.2500 0.7531
Ga3 0.3628 0.7500 0.9213
Ga4 0.6372 0.2500 0.0787
Ga5 0.8719 0.7500 0.2469
Ga6 0.8723 0.7500 0.5694
```

8.
The following is a PBE calculation of a relaxed Li9Cd2Ga crystal, from Alexandria.

- M_tot: 0.00 μB per atom
- D(E_F): 3.2 states/eV/cell
- Calculated volume: 17.8 Å³/atom
- Energy: -2.009 eV/atom

CIF file:
```
data_Li9Cd2Ga
_chemical_formula_sum 'Li9 Cd2 Ga1'
_symmetry_space_group_name_H-M 'P 1'
_symmetry_Int_Tables_number 1
_cell_length_a 5.0787
_cell_length_b 5.0787
_cell_length_c 9.6670
_cell_angle_alpha 95.02
_cell_angle_beta 95.02
_cell_angle_gamma 119.37
loop_
_symmetry_equiv_pos_as_xyz
'x,y,z'
loop_
_atom_site_label
_atom_site_fract_x
_atom_site_fract_y
_atom_site_fract_z
Li1 0.0000 0.0000 0.0000
Li2 0.1004 0.4272 0.2581
Li3 0.1632 0.8368 0.5000
Li4 0.2666 0.2666 0.7467
Li5 0.4272 0.1004 0.2581
Li6 0.5728 0.8996 0.7419
Li7 0.7334 0.7334 0.2533
Li8 0.8368 0.1632 0.5000
Li9 0.8996 0.5728 0.7419
Cd1 0.3305 0.6695 0.0000
Cd2 0.6695 0.3305 0.0000
Ga1 0.5000 0.5000 0.5000
```

9.
The following is a PBE calculation of a relaxed Li3CdGa crystal, from Alexandria.

- M_tot: 0.00 μB per atom
- D(E_F): 4.0 states/eV/cell
- Calculated volume: 17.0 Å³/atom
- Energy: -2.199 eV/atom

CIF file:
```
data_Li3CdGa
_chemical_formula_sum 'Li6 Cd2 Ga2'
_symmetry_space_group_name_H-M 'P 1'
_symmetry_Int_Tables_number 1
_cell_length_a 5.5815
_cell_length_b 4.4491
_cell_length_c 6.9201
_cell_angle_alpha 90.00
_cell_angle_beta 99.39
_cell_angle_gamma 90.00
loop_
_symmetry_equiv_pos_as_xyz
'x,y,z'
loop_
_atom_site_label
_atom_site_fract_x
_atom_site_fract_y
_atom_site_fract_z
Li1 0.0489 0.2500 0.3337
Li2 0.2391 0.2500 0.7495
Li3 0.4398 0.2500 0.1433
Li4 0.5602 0.7500 0.8567
Li5 0.7609 0.7500 0.2505
Li6 0.9511 0.7500 0.6663
Cd1 0.3391 0.7500 0.4414
Cd2 0.6609 0.2500 0.5586
Ga1 0.1414 0.7500 0.0431
Ga2 0.8586 0.2500 0.9569
```

10.
The following is a PBE calculation of a relaxed LiCd2Ga12 crystal, from Alexandria.

- M_tot: 0.00 μB per atom
- D(E_F): 11.0 states/eV/cell
- Calculated volume: 19.8 Å³/atom
- Energy: -2.652 eV/atom

CIF file:
```
data_LiCd2Ga12
_chemical_formula_sum 'Li2 Cd4 Ga24'
_symmetry_space_group_name_H-M 'P 1'
_symmetry_Int_Tables_number 1
_cell_length_a 5.6922
_cell_length_b 5.6922
_cell_length_c 18.3773
_cell_angle_alpha 90.00
_cell_angle_beta 90.00
_cell_angle_gamma 90.00
loop_
_symmetry_equiv_pos_as_xyz
'x,y,z'
loop_
_atom_site_label
_atom_site_fract_x
_atom_site_fract_y
_atom_site_fract_z
Li1 0.2500 0.7500 0.0000
Li2 0.7500 0.2500 0.0000
Cd1 0.2500 0.7500 0.2598
Cd2 0.2500 0.7500 0.7402
Cd3 0.7500 0.2500 0.2598
Cd4 0.7500 0.2500 0.7402
Ga1 0.0007 0.5007 0.0982
Ga2 0.0007 0.9993 0.9018
Ga3 0.0715 0.5715 0.4348
Ga4 0.0715 0.9285 0.5652
Ga5 0.2500 0.2500 0.2017
Ga6 0.2500 0.2500 0.3405
Ga7 0.2500 0.2500 0.6595
Ga8 0.2500 0.2500 0.7983
Ga9 0.4285 0.5715 0.5652
Ga10 0.4285 0.9285 0.4348
Ga11 0.4993 0.5007 0.9018
Ga12 0.4993 0.9993 0.0982
Ga13 0.5007 0.0007 0.9018
Ga14 0.5007 0.4993 0.0982
Ga15 0.5715 0.0715 0.5652
Ga16 0.5715 0.4285 0.4348
Ga17 0.7500 0.7500 0.2017
Ga18 0.7500 0.7500 0.3405
Ga19 0.7500 0.7500 0.6595
Ga20 0.7500 0.7500 0.7983
Ga21 0.9285 0.0715 0.4348
Ga22 0.9285 0.4285 0.5652
Ga23 0.9993 0.0007 0.0982
Ga24 0.9993 0.4993 0.9018
```

Q: Look up the D(E_F) of the eighth one.
A: 3.2 states/eV/cell